Model P:
The following is a PBE calculation of crystalline SrP2Pt at its relaxed geometry, from the Alexandria database.

Cell: 6.2837 6.5392 9.1046 Å, 90.00 105.44 90.00°
Space group Cc (No. 9)
Symmetry-distinct sites (fractional):
Sr: 0.0000 0.0311 0.0000
P: 0.0699 0.4858 0.0937
P: 0.1317 0.2665 0.7564
Pt: 0.4401 0.0575 0.8291

The volume comes out at 22.54 Å³/atom. The value obtained for the density of states at the Fermi level is 0.9 states/eV/f.u. For the spin magnetization, the calculation gives 0.00 Bohr magnetons per cell.

***

Model Q:
The following is a PBE calculation of crystalline SrP2Pt at its relaxed geometry, from the Alexandria database.

Cell: 4.0608 7.7159 6.6247 Å, 90.00 90.00 90.00°
Space group Cmmm (No. 65)
Symmetry-distinct sites (fractional):
Sr: 0.0000 0.0000 0.0000
P: 0.0000 0.5000 0.3191
Pt: 0.0000 0.0000 0.5000

The volume comes out at 25.95 Å³/atom. The value obtained for the density of states at the Fermi level is 3.0 states/eV/f.u. For the spin magnetization, the calculation gives 0.00 Bohr magnetons per cell.

***

Model R:
The following is a PBE calculation of crystalline SrP2Pt at its relaxed geometry, from the Alexandria database.

Cell: 3.8750 11.9798 7.2717 Å, 90.00 90.00 90.00°
Space group Cmcm (No. 63)
Symmetry-distinct sites (fractional):
Sr: 0.0000 0.1696 0.2500
P: 0.0000 0.4128 0.0518
Pt: 0.0000 0.0972 0.7500

The volume comes out at 21.10 Å³/atom. The value obtained for the density of states at the Fermi level is 0.6 states/eV/f.u. For the spin magnetization, the calculation gives 0.00 Bohr magnetons per cell.

***

Model S:
The following is a PBE calculation of crystalline SrP2Pt at its relaxed geometry, from the Alexandria database.

Cell: 4.7793 4.7793 3.3511 Å, 90.00 90.00 90.00°
Space group P4/mmm (No. 123)
Symmetry-distinct sites (fractional):
Sr: 0.0000 0.0000 0.0000
P: 0.0000 0.5000 0.5000
Pt: 0.5000 0.5000 0.0000

The volume comes out at 19.14 Å³/atom. The value obtained for the density of states at the Fermi level is 2.4 states/eV/f.u. For the spin magnetization, the calculation gives 0.00 Bohr magnetons per cell.

***

Stability, lowest: model S

***

Model P:
The following is a PBE calculation of crystalline SrP2Pt at its relaxed geometry, from the Alexandria database.

Cell: 3.9402 3.9402 17.9073 Å, 90.00 90.00 120.00°
Space group R-3m (No. 166, hexagonal axes)
Symmetry-distinct sites (fractional):
Sr: 0.0000 0.0000 0.0000
P: 0.0000 0.0000 0.2228
Pt: 0.0000 0.0000 0.5000

The volume comes out at 20.06 Å³/atom. For the spin magnetization, the calculation gives 0.00 Bohr magnetons per cell.

***

Model Q:
The following is a PBE calculation of crystalline SrP2Pt at its relaxed geometry, from the Alexandria database.

Cell: 3.4127 5.4758 8.9153 Å, 90.00 90.00 90.00°
Space group Imm2 (No. 44)
Symmetry-distinct sites (fractional):
Sr: 0.0000 0.0000 0.0000
P: 0.0000 0.0000 0.4909
P: 0.0000 0.5000 0.8137
Pt: 0.0000 0.5000 0.1790

The volume comes out at 20.83 Å³/atom. The value obtained for the density of states at the Fermi level is 3.1 states/eV/f.u. For the spin magnetization, the calculation gives 0.00 Bohr magnetons per cell.

***

Model R:
The following is a PBE calculation of crystalline SrP2Pt at its relaxed geometry, from the Alexandria database.

Cell: 4.0945 4.0945 9.2471 Å, 90.00 90.00 90.00°
Space group I-4m2 (No. 119)
Symmetry-distinct sites (fractional):
Sr: 0.0000 0.0000 0.0000
P: 0.0000 0.0000 0.5000
P: 0.0000 0.5000 0.7500
Pt: 0.0000 0.5000 0.2500

The volume comes out at 19.38 Å³/atom. The value obtained for the density of states at the Fermi level is 2.8 states/eV/f.u. For the spin magnetization, the calculation gives 0.00 Bohr magnetons per cell.

***

Stability, lowest: model R

***

Model P:
The following is a PBE calculation of crystalline SrP2Pt at its relaxed geometry, from the Alexandria database.

Cell: 6.7357 6.7357 6.7357 Å, 90.00 90.00 90.00°
Space group Fm-3m (No. 225)
Symmetry-distinct sites (fractional):
Sr: 0.0000 0.0000 0.0000
P: 0.2500 0.2500 0.2500
Pt: 0.0000 0.0000 0.5000

The volume comes out at 19.10 Å³/atom. The value obtained for the density of states at the Fermi level is 5.2 states/eV/f.u. For the spin magnetization, the calculation gives 0.00 Bohr magnetons per cell.

***

Model Q:
The following is a PBE calculation of crystalline SrP2Pt at its relaxed geometry, from the Alexandria database.

Cell: 4.0813 6.1189 7.0351 Å, 90.00 90.00 90.00°
Space group Immm (No. 71)
Symmetry-distinct sites (fractional):
Sr: 0.0000 0.0000 0.0000
P: 0.0000 0.5000 0.1711
Pt: 0.0000 0.0000 0.5000

The volume comes out at 21.96 Å³/atom. The value obtained for the density of states at the Fermi level is 3.5 states/eV/f.u. For the spin magnetization, the calculation gives 0.00 Bohr magnetons per cell.

***

Stability, lowest: model P